A plane-wave DFT calculation with PBE was carried out for a relaxed TiV6Tc crystal.

a b c (Å): 8.8877 8.8877 4.9828
angles (deg): 90.00 90.00 120.00
Space group R-3m (No. 166, hexagonal axes)
One atom of each set of equivalent atoms:
1 Ti 0.0000 0.0000 0.0000 x3
2 V 0.0038 0.5019 0.2508 x18
3 Tc 0.0000 0.0000 0.5000 x3

Summary:
V in Å³/atom: 14.20
DOS at the Fermi energy in states/eV per cell: 30.44
Calculated formation energy in eV/atom: 0.080